1.
Compound: Sc2RuPtC
Source: the Alexandria database
Functional: GGA-PBE
Structure: relaxed

Cell: 5.000 4.672 5.000 Å, 90.00 90.00 90.00°
Fractional positions:
Pt (0.000, 0.000, 0.000)
Sc (0.500, 0.000, 0.000)
Sc (0.000, 0.000, 0.500)
Ru (0.000, 0.500, 0.000)
C (0.500, 0.500, 0.500)

Properties
Formation energy, eV/atom: 1.423
Electronic total energy, eV/cell: -30.1
Excess energy over the best structure of this formula in the dataset, meV per atom: 2101
Magnetization, μB per formula unit: 0.00
SG: P4/mmm (123)

=====

2.
Compound: LuCu2Pd
Source: the Alexandria database
Functional: GGA-PBE
Structure: relaxed

Cell: 4.162 3.957 3.957 Å, 90.00 90.00 90.00°
Fractional positions:
Cu (0.000, 0.500, 0.000)
Cu (0.000, 0.000, 0.500)
Lu (0.500, 0.500, 0.500)
Pd (0.500, 0.000, 0.000)

Properties
Formation energy, eV/atom: -0.349
Electronic total energy, eV/cell: -19.3
Excess energy over the best structure of this formula in the dataset, meV per atom: 36
Magnetization, μB per formula unit: 0.00
SG: P4/mmm (123)

=====

3.
Compound: Dy6ErTm
Source: the Alexandria database
Functional: GGA-PBE
Structure: relaxed

Cell: 6.692 6.499 6.856 Å, 102.65 60.90 89.97°
Fractional positions:
Dy (0.552, 0.750, 0.999)
Dy (0.575, 0.769, 0.520)
Dy (0.425, 0.231, 0.480)
Dy (0.905, 0.270, 0.522)
Dy (0.448, 0.250, 0.001)
Dy (0.095, 0.730, 0.478)
Tm (0.000, 0.500, 0.000)
Er (0.000, 0.000, 0.000)

Properties
Formation energy, eV/atom: 0.208
Electronic total energy, eV/cell: -35.0
Excess energy over the best structure of this formula in the dataset, meV per atom: 186
Magnetization, μB per formula unit: 0.01
SG: P-1 (2)

=====

4.
Compound: TlFe3P
Source: the Alexandria database
Functional: GGA-PBE
Structure: relaxed

Cell: 4.837 4.837 4.837 Å, 90.00 90.00 90.00°
Site moments in Bohr magnetons follow the coordinates.
Fractional positions:
Fe (0.000, 0.000, 0.500)  3.17
Fe (0.500, 0.000, 0.000)  2.62
Fe (0.000, 0.500, 0.000)  2.87
P (0.500, 0.500, 0.500)  -0.05
Tl (0.000, 0.000, 0.000)  -0.14

Properties
Formation energy, eV/atom: 1.892
Electronic total energy, eV/cell: -23.7
Excess energy over the best structure of this formula in the dataset, meV per atom: 1634
Magnetization, μB per formula unit: 8.57
SG: Pm-3m (221)

=====

5.
Compound: Pa5SiP4
Source: the Alexandria database
Functional: GGA-PBE
Structure: relaxed

Cell: 5.647 6.916 6.916 Å, 80.41 65.90 65.90°
Fractional positions:
Pa (0.501, 0.000, 0.000)
Pa (0.698, 0.202, 0.404)
Pa (0.102, 0.596, 0.202)
Pa (0.304, 0.798, 0.596)
Pa (0.900, 0.404, 0.798)
Si (0.001, 0.000, 0.000)
P (0.400, 0.401, 0.802)
P (0.801, 0.802, 0.599)
P (0.201, 0.198, 0.401)
P (0.602, 0.599, 0.198)

Properties
Electronic total energy, eV/cell: -85.9
Formation energy without anion corrections, eV per atom: -1.139
Magnetization, μB per formula unit: 0.00
SG: I4/m (87)

=====

6.
Compound: CaPr2In
Source: the Alexandria database
Functional: GGA-PBE
Structure: relaxed

Cell: 5.622 5.622 5.739 Å, 60.67 60.67 60.00°
Fractional positions:
In (0.757, 0.757, 0.729)
Pr (0.009, 0.009, 0.973)
Pr (0.240, 0.240, 0.281)
Ca (0.494, 0.494, 0.518)

Properties
Formation energy, eV/atom: -0.061
Electronic total energy, eV/cell: -14.5
Excess energy over the best structure of this formula in the dataset, meV per atom: 179
Magnetization, μB per formula unit: 0.00
SG: R3m (160)